Below is a geometry-optimized NbCdSnO2 structure, with properties calculated at the PBE-GGA level.

## Properties
raw formation energy: -1.00 eV per atom
energy: -5.984 eV per atom

abc: 4.0102 5.9975 4.0102
angles: 90.00 90.00 90.00
With the nearest neighbours (Å) after each atom.
Element x y z (fractional)
Nb  0.0000  0.0000  0.0000  4 O 2.01
Sn  0.5000  0.5000  0.5000  4 Cd 2.84
O  0.0000  0.0000  0.5000  2 Nb 2.01
O  0.5000  0.0000  0.0000  2 Nb 2.01
Cd  0.0000  0.5000  0.0000  4 Sn 2.84, 2 Nb 3.00